Run one
Compound: BaSrSn3
Source: Alexandria via LeMat-Bulk
Functional: GGA-PBE
Structure: optimized geometry

Lattice parameters (Å, degrees): 5.9696 5.9696 5.9696 90.00 90.00 90.00
With the nearest neighbours (Å) after each atom.
Positions (direct):
Ba 0.0000 0.0000 0.0000  12 Sn 4.22
Sr 0.5000 0.5000 0.5000  6 Sn 2.98
Sn 0.0000 0.5000 0.5000  2 Sr 2.98
Sn 0.5000 0.0000 0.5000  2 Sr 2.98
Sn 0.5000 0.5000 0.0000  2 Sr 2.98

Output
The total moment comes out at 0.0 μB/f.u. The value obtained for the density of states at the Fermi level is 5.7 states/eV/cell. Its symmetry is Pm-3m (221).



Run two
Compound: BaSrSn3
Source: Alexandria via LeMat-Bulk
Functional: GGA-PBE
Structure: optimized geometry

Lattice parameters (Å, degrees): 6.1232 6.1232 6.1232 90.00 90.00 90.00
With the nearest neighbours (Å) after each atom.
Positions (direct):
Ba 0.0000 0.0000 0.0000  6 Sn 3.06
Sr 0.5000 0.5000 0.5000  12 Sn 4.33
Sn 0.0000 0.0000 0.5000  2 Ba 3.06
Sn 0.0000 0.5000 0.0000  2 Ba 3.06
Sn 0.5000 0.0000 0.0000  2 Ba 3.06

Output
The total moment comes out at 0.0 μB/f.u. The value obtained for the density of states at the Fermi level is 4.7 states/eV/cell. Its symmetry is Pm-3m (221).



Energy ordering: run one at the bottom, the next structure 270 meV/atom above.



Run one
Compound: BaSrSn3
Source: Alexandria via LeMat-Bulk
Functional: GGA-PBE
Structure: optimized geometry

Lattice parameters (Å, degrees): 9.5253 9.5253 4.6996 90.00 90.00 117.75
With the nearest neighbours (Å) after each atom.
Positions (direct):
Ba 0.0000 0.0000 0.0000  12 Sn 3.72-3.79
Ba 0.5000 0.5000 0.0000  8 Sn 3.68
Sr 0.0000 0.5000 0.0000  8 Sn 3.52-3.58
Sr 0.5000 0.0000 0.0000  8 Sn 3.52-3.58
Sn 0.1643 0.3424 0.5000  2 Sn 2.91-2.92
Sn 0.1820 0.8180 0.5000  2 Sn 2.92
Sn 0.3424 0.1643 0.5000  2 Sn 2.91-2.92
Sn 0.6576 0.8357 0.5000  2 Sn 2.91-2.92
Sn 0.8180 0.1820 0.5000  2 Sn 2.92
Sn 0.8357 0.6576 0.5000  2 Sn 2.91-2.92

Output
The total moment comes out at 0.0 μB/f.u. The value obtained for the density of states at the Fermi level is 4.2 states/eV/cell. Its symmetry is Cmmm (65).



Run two
Compound: BaSrSn3
Source: Alexandria via LeMat-Bulk
Functional: GGA-PBE
Structure: optimized geometry

Lattice parameters (Å, degrees): 15.7426 15.7426 4.6767 90.00 90.00 161.64
With the nearest neighbours (Å) after each atom.
Positions (direct):
Ba 0.0779 0.9221 0.7500  12 Sn 3.74-4.17
Ba 0.9221 0.0779 0.2500  12 Sn 3.74-4.17
Sr 0.2040 0.7960 0.2500  7 Sn 3.45-3.49
Sr 0.7960 0.2040 0.7500  7 Sn 3.45-3.49
Sn 0.3151 0.6849 0.2500  2 Sn 2.97
Sn 0.3740 0.6260 0.7500  3 Sn 2.97-3.06
Sn 0.4726 0.5274 0.7500  3 Sn 2.89-3.06
Sn 0.5274 0.4726 0.2500  3 Sn 2.89-3.06
Sn 0.6260 0.3740 0.2500  3 Sn 2.97-3.06
Sn 0.6849 0.3151 0.7500  2 Sn 2.97

Output
The total moment comes out at 0.0 μB/f.u. The value obtained for the density of states at the Fermi level is 6.3 states/eV/cell. Its symmetry is Cmcm (63).



Energy ordering: run two at the bottom, the next structure 47 meV/atom above.



Run one
Compound: BaTa2Sn2
Source: Alexandria via LeMat-Bulk
Functional: GGA-PBE
Structure: optimized geometry

Lattice parameters (Å, degrees): 8.9613 8.9613 3.0467 90.00 90.00 90.00
With the nearest neighbours (Å) after each atom.
Positions (direct):
Ba 0.0000 0.0000 0.0000  2 Ba 3.05, 4 Sn 3.31
Ba 0.5000 0.5000 0.0000  2 Ba 3.05, 4 Sn 3.31
Ta 0.1095 0.3905 0.5000  3 Ta 2.78-3.05, 4 Sn 3.02
Ta 0.3905 0.8905 0.5000  3 Ta 2.78-3.05, 4 Sn 3.02
Ta 0.6095 0.1095 0.5000  3 Ta 2.78-3.05, 4 Sn 3.02
Ta 0.8905 0.6095 0.5000  3 Ta 2.78-3.05, 4 Sn 3.02
Sn 0.1738 0.6738 0.0000  6 Ta 3.02-3.14, 2 Sn 3.05, 2 Ba 3.31
Sn 0.3262 0.1738 0.0000  6 Ta 3.02-3.14, 2 Sn 3.05, 2 Ba 3.31
Sn 0.6738 0.8262 0.0000  6 Ta 3.02-3.14, 2 Sn 3.05, 2 Ba 3.31
Sn 0.8262 0.3262 0.0000  6 Ta 3.02-3.14, 2 Sn 3.05, 2 Ba 3.31

Output
The total moment comes out at 0.0 μB/f.u. The value obtained for the density of states at the Fermi level is 7.8 states/eV/cell. Its symmetry is P4/mbm (127).



Run two
Compound: BaTa2Sn2
Source: Alexandria via LeMat-Bulk
Functional: GGA-PBE
Structure: optimized geometry

Lattice parameters (Å, degrees): 7.6723 7.6723 7.6723 147.39 147.39 46.78
With the nearest neighbours (Å) after each atom.
Positions (direct):
Ba 0.0000 0.0000 0.0000  8 Sn 3.45
Ta 0.2500 0.7500 0.5000  4 Sn 2.88, 4 Ta 3.05
Ta 0.7500 0.2500 0.5000  4 Sn 2.88, 4 Ta 3.05
Sn 0.3853 0.3853 0.0000  4 Ta 2.88
Sn 0.6147 0.6147 0.0000  4 Ta 2.88

Output
The total moment comes out at 0.0 μB/f.u. The value obtained for the density of states at the Fermi level is 4.1 states/eV/cell. Its symmetry is I4/mmm (139).



Energy ordering: run two at the bottom, the next structure 202 meV/atom above.



Run one
Compound: BaTa3Sn
Source: Alexandria via LeMat-Bulk
Functional: GGA-PBE
Structure: optimized geometry

Lattice parameters (Å, degrees): 5.2436 5.2436 5.2436 90.00 90.00 90.00
With the nearest neighbours (Å) after each atom.
Positions (direct):
Ba 0.0000 0.0000 0.0000  12 Ta 3.71
Ta 0.0000 0.5000 0.5000  2 Sn 2.62
Ta 0.5000 0.0000 0.5000  2 Sn 2.62
Ta 0.5000 0.5000 0.0000  2 Sn 2.62
Sn 0.5000 0.5000 0.5000  6 Ta 2.62

Output
The total moment comes out at 0.9 μB/f.u. The value obtained for the density of states at the Fermi level is 6.7 states/eV/cell. Its symmetry is Pm-3m (221).



Run two
Compound: BaTa3Sn
Source: Alexandria via LeMat-Bulk
Functional: GGA-PBE
Structure: optimized geometry

Lattice parameters (Å, degrees): 5.1192 5.1192 5.1192 90.00 90.00 90.00
With the nearest neighbours (Å) after each atom.
Positions (direct):
Ba 0.0000 0.0000 0.0000  6 Ta 2.56
Ta 0.0000 0.0000 0.5000  2 Ba 2.56
Ta 0.0000 0.5000 0.0000  2 Ba 2.56
Ta 0.5000 0.0000 0.0000  2 Ba 2.56
Sn 0.5000 0.5000 0.5000  12 Ta 3.62

Output
The total moment comes out at 0.0 μB/f.u. The value obtained for the density of states at the Fermi level is 8.9 states/eV/cell. Its symmetry is Pm-3m (221).



Energy ordering: run one at the bottom, the next structure 1061 meV/atom above.



Run one
Compound: BaTbSn2
Source: Alexandria via LeMat-Bulk
Functional: GGA-PBE
Structure: optimized geometry

Lattice parameters (Å, degrees): 4.1291 4.1291 7.5914 90.00 90.00 90.00
With the nearest neighbours (Å) after each atom.
Positions (direct):
Ba 0.0000 0.0000 0.0000  8 Sn 3.71, 2 Tb 3.80, 4 Ba 4.13
Tb 0.0000 0.0000 0.5000  8 Sn 3.28
Sn 0.5000 0.5000 0.3023  1 Sn 3.00, 4 Tb 3.28
Sn 0.5000 0.5000 0.6977  1 Sn 3.00, 4 Tb 3.28

Output
The total moment comes out at 0.0 μB/f.u. The value obtained for the density of states at the Fermi level is 2.1 states/eV/cell. Its symmetry is P4/mmm (123).



Run two
Compound: BaTbSn2
Source: Alexandria via LeMat-Bulk
Functional: GGA-PBE
Structure: optimized geometry

Lattice parameters (Å, degrees): 7.0703 7.0703 7.0703 42.25 42.25 42.25
With the nearest neighbours (Å) after each atom.
Positions (direct):
Ba 0.0000 0.0000 0.0000  6 Sn 3.61
Tb 0.5000 0.5000 0.5000  6 Sn 3.15
Sn 0.2249 0.2249 0.2249  3 Tb 3.15
Sn 0.7751 0.7751 0.7751  3 Tb 3.15

Output
The total moment comes out at 0.0 μB/f.u. The value obtained for the density of states at the Fermi level is 4.6 states/eV/cell. Its symmetry is R-3m (166).



Energy ordering: run one at the bottom, the next structure 157 meV/atom above.



Run one
Compound: BaTcSn3
Source: Alexandria via LeMat-Bulk
Functional: GGA-PBE
Structure: optimized geometry

Lattice parameters (Å, degrees): 5.2739 5.2739 5.2739 90.00 90.00 90.00
With the nearest neighbours (Å) after each atom.
Positions (direct):
Ba 0.0000 0.0000 0.0000  12 Sn 3.73
Tc 0.5000 0.5000 0.5000  6 Sn 2.64
Sn 0.0000 0.5000 0.5000  2 Tc 2.64
Sn 0.5000 0.0000 0.5000  2 Tc 2.64
Sn 0.5000 0.5000 0.0000  2 Tc 2.64

Output
The total moment comes out at 0.0 μB/f.u. The value obtained for the density of states at the Fermi level is 8.0 states/eV/cell. Its symmetry is Pm-3m (221).



Run two
Compound: BaTcSn3
Source: Alexandria via LeMat-Bulk
Functional: GGA-PBE
Structure: optimized geometry

Lattice parameters (Å, degrees): 5.9107 5.9107 5.9107 90.00 90.00 90.00
With the nearest neighbours (Å) after each atom.
Positions (direct):
Ba 0.0000 0.0000 0.0000  6 Sn 2.96
Tc 0.5000 0.5000 0.5000  12 Sn 4.18
Sn 0.0000 0.0000 0.5000  2 Ba 2.96
Sn 0.0000 0.5000 0.0000  2 Ba 2.96
Sn 0.5000 0.0000 0.0000  2 Ba 2.96

Output
The total moment comes out at 0.0 μB/f.u. The value obtained for the density of states at the Fermi level is 22.1 states/eV/cell. Its symmetry is Pm-3m (221).



Energy ordering: run one at the bottom, the next structure 2284 meV/atom above.